Entry 1:
Below is a relaxed structure of SrLa2Cd, with properties calculated at the PBE level.

Its final energy is -3.12 eV/atom. The value obtained for the density of states at the Fermi level is 6.364 states/eV/cell.

It has space group P4/mmm (No. 123), with a = 5.166 Å, b = 5.166 Å, c = 5.247 Å, α = 90.00°, β = 90.00° and γ = 90.00°. The distinct sites, in fractional coordinates, are Sr at (0.000, 0.000, 0.000), La at (0.000, 0.500, 0.500) and Cd at (0.500, 0.500, 0.000).


Entry 2:
Below is a relaxed structure of FeGePd, with properties calculated at the PBE level.

Its final energy is -6.21 eV/atom. The value obtained for the density of states at the Fermi level is 3.892 states/eV/cell.

It has space group I4/mmm (No. 139), with a = 3.036 Å, b = 3.036 Å, c = 19.279 Å, α = 90.00°, β = 90.00° and γ = 90.00°. The distinct sites, in fractional coordinates, are Fe at (0.000, 0.000, 0.218), Ge at (0.000, 0.000, 0.355) and Pd at (0.000, 0.000, 0.070).


Entry 3:
Below is a relaxed structure of Ba6HgIr, with properties calculated at the PBE level.

Its final energy is -2.81 eV/atom. The value obtained for the density of states at the Fermi level is 14.714 states/eV/cell.

It has space group P-31c (No. 163), with a = 7.9998 Å, b = 7.9998 Å, c = 15.4510 Å, α = 90.00°, β = 90.00° and γ = 120.00°. The distinct sites, in fractional coordinates, are Ba at (0.0083, 0.3174, 0.1167), Hg at (0.3333, 0.6667, 0.7500) and Ir at (0.0000, 0.0000, 0.0000).


Entry 4:
Below is a relaxed structure of Sm8Ni3IrBr4, with properties calculated at the PBE level.

Its final energy is -5.31 eV/atom. The value obtained for the density of states at the Fermi level is 29.292 states/eV/cell.

It has space group R-3m (No. 166, hexagonal axes), with a = 8.0938 Å, b = 8.0938 Å, c = 23.0619 Å, α = 90.00°, β = 90.00° and γ = 120.00°. The distinct sites, in fractional coordinates, are Sm at (0.0000, 0.0000, 0.2299), Sm at (0.0028, 0.5014, 0.7686), Ni at (0.0000, 0.5000, 0.5000), Ir at (0.0000, 0.0000, 0.5000), Br at (0.0000, 0.0000, 0.0000) and Br at (0.0000, 0.5000, 0.0000).


Entry 5:
Below is a relaxed structure of SnPbCl2, with properties calculated at the PBE level.

Its final energy is -3.18 eV/atom. The value obtained for the density of states at the Fermi level is 14.232 states/eV/cell. The polymorph energy (0 for the lowest one) comes out at 211 meV/atom.

It has space group Fm-3m (No. 225), with a = 7.499 Å, b = 7.499 Å, c = 7.499 Å, α = 90.00°, β = 90.00° and γ = 90.00°. The distinct sites, in fractional coordinates, are Sn at (0.000, 0.000, 0.000), Pb at (0.000, 0.000, 0.500) and Cl at (0.250, 0.250, 0.250).


Entry 6:
Below is a relaxed structure of Pu2BiF, with properties calculated at the PBE level.

Its final energy is -9.71 eV/atom. The value obtained for the density of states at the Fermi level is 46.954 states/eV/cell. The polymorph energy (0 for the lowest one) comes out at 0 meV/atom.

It has space group R-3m (No. 166, hexagonal axes), with a = 4.2204 Å, b = 4.2204 Å, c = 19.7231 Å, α = 90.00°, β = 90.00° and γ = 120.00°. The distinct sites, in fractional coordinates, are Pu at (0.0000, 0.0000, 0.2301), Bi at (0.0000, 0.0000, 0.0000) and F at (0.0000, 0.0000, 0.5000).